# 1
A plane-wave DFT calculation with PBE-GGA was carried out for a relaxed MgIn2Hg8 crystal.

```
MgIn2Hg8
1.0
4.871 0.000 0.000
0.000 4.871 0.000
0.000 0.000 12.264
Mg In Hg
1 2 8
Cartesian
0.000 0.000 0.000 Mg
0.000 0.000 3.886 In
0.000 0.000 8.378 In
0.000 2.436 6.132 Hg
2.436 0.000 6.132 Hg
2.436 2.436 3.930 Hg
2.436 2.436 8.334 Hg
0.000 2.436 1.657 Hg
2.436 0.000 1.657 Hg
0.000 2.436 10.607 Hg
2.436 0.000 10.607 Hg
```

Calculated values
E_tot = -0.89 eV per atom
D(E_F) = 2.978 states/eV per cell

=====

# 2
A plane-wave DFT calculation with PBE-GGA was carried out for a relaxed MgIn2Hg2 crystal.

```
MgIn2Hg2
1.0
7.939 0.000 0.000
0.000 7.939 0.000
0.000 0.000 4.186
Mg Hg In
2 4 4
Cartesian
0.000 0.000 0.000 Mg
3.969 3.969 0.000 Mg
1.312 5.281 2.093 Hg
5.281 6.627 2.093 Hg
6.627 2.658 2.093 Hg
2.658 1.312 2.093 Hg
2.873 6.842 0.000 In
6.842 5.066 0.000 In
5.066 1.097 0.000 In
1.097 2.873 0.000 In
```

Calculated values
polymorph energy (0 for the lowest one) = 104.3 meV per atom
E_tot = -1.49 eV per atom
D(E_F) = 4.981 states/eV per cell

=====

# 3
A plane-wave DFT calculation with PBE-GGA was carried out for a relaxed MgIn3Hg3 crystal.

```
MgIn3Hg3
1.0
5.730 0.000 0.000
0.000 8.486 0.000
0.000 -4.243 7.349
Mg In Hg
2 6 6
Cartesian
1.432 4.243 2.450 Mg
4.297 0.000 4.899 Mg
4.297 3.018 3.847 In
4.297 3.644 0.690 In
4.297 6.065 2.811 In
1.432 1.224 3.501 In
1.432 0.598 6.658 In
1.432 -1.823 4.538 In
1.432 3.736 5.508 Hg
1.432 1.847 0.482 Hg
1.432 7.145 1.359 Hg
4.297 0.507 1.841 Hg
4.297 2.395 6.867 Hg
4.297 -2.902 5.990 Hg
```

Calculated values
polymorph energy (0 for the lowest one) = 0.0 meV per atom
E_tot = -1.54 eV per atom
D(E_F) = 4.238 states/eV per cell

=====

# 4
A plane-wave DFT calculation with PBE-GGA was carried out for a relaxed Mg14InHg crystal.

```
Mg14InHg
1.0
6.506 -0.014 0.000
0.014 6.506 0.000
0.000 0.000 8.563
Mg In Hg
14 1 1
Cartesian
5.705 5.681 0.000 Mg
2.445 2.434 0.000 Mg
5.698 2.428 4.282 Mg
5.698 2.428 0.000 Mg
2.452 5.687 4.282 Mg
2.452 5.687 0.000 Mg
4.050 0.823 2.177 Mg
4.050 0.823 6.386 Mg
0.840 4.046 2.177 Mg
0.840 4.046 6.386 Mg
4.057 4.039 2.177 Mg
4.057 4.039 6.386 Mg
0.833 0.830 2.177 Mg
0.833 0.830 6.386 Mg
5.705 5.680 4.282 In
2.445 2.434 4.282 Hg
```

Calculated values
E_tot = -1.63 eV per atom
D(E_F) = 8.567 states/eV per cell

=====

Which of these has the lowest E_tot?
Mg14InHg